Record 1
# Tm2Fe3Si5

A geometry-optimized Tm2Fe3Si5 structure (PBE, the Alexandria database).

Unit cell a=10.3057 b=10.3057 c=5.4193 alpha=90.00 beta=90.00 gamma=90.00
Space group P4/mnc (No. 128)
Symmetry-distinct sites (fractional):
Tm: 0.0692 0.2365 0.0000 [8 per cell]
Fe: 0.0000 0.5000 0.2500 [4 per cell]
Fe: 0.1234 0.8558 0.5000 [8 per cell]
Si: 0.0000 0.0000 0.2629 [4 per cell]
Si: 0.0231 0.3194 0.5000 [8 per cell]
Si: 0.1779 0.6779 0.2500 [8 per cell]

## Properties
- E_form (uncorrected) (kcal/mol of atoms) = -16.15
- energy above the most stable polymorph in this dataset (eV/atom) = 0.000

---

Record 2
# TmFe5Si2

A geometry-optimized TmFe5Si2 structure (PBE, the Alexandria database).

Unit cell a=3.3792 b=6.9660 c=9.3033 alpha=90.00 beta=90.00 gamma=90.00
Space group Immm (No. 71)
Symmetry-distinct sites (fractional):
Tm: 0.0000 0.0000 0.0000 [2 per cell]
Fe: 0.0000 0.1877 0.3518 [8 per cell]
Fe: 0.0000 0.5000 0.0000 [2 per cell]
Si: 0.0000 0.5000 0.2557 [4 per cell]

## Properties
- E_form (uncorrected) (kcal/mol of atoms) = -7.91